TlCuGe2As | PBE-GGA | relaxed

* formation enthalpy at 0 K: 1.102 eV/atom

Unit cell a=5.3181 b=4.8203 c=5.3181 alpha=90.00 beta=90.00 gamma=90.00
Closest atoms and distances in Å follow each position.
Element x y z (fractional)
1 Tl 0.0000 0.0000 0.0000  2 Cu 2.41, 4 Ge 2.66
2 Ge 0.0000 0.0000 0.5000  2 Tl 2.66
3 Ge 0.5000 0.0000 0.0000  2 Tl 2.66
4 As 0.5000 0.5000 0.5000  8 Ge 3.59, 4 Cu 3.76
5 Cu 0.0000 0.5000 0.0000  2 Tl 2.41

CuAs2H | PBE-GGA | relaxed

* energy above the lowest structure with this stoichiometry: 0.022 eV per atom

Unit cell a=4.2469 b=4.2469 c=4.2469 alpha=60.00 beta=60.00 gamma=60.00
Closest atoms and distances in Å follow each position.
Element x y z (fractional)
1 H 0.0000 0.0000 0.0000  8 As 2.60
2 As 0.2500 0.2500 0.2500  4 H 2.60, 4 Cu 2.60
3 As 0.7500 0.7500 0.7500  4 H 2.60, 4 Cu 2.60
4 Cu 0.5000 0.5000 0.5000  8 As 2.60